Record 1
La2MnIr after structural relaxation, computed with PBE.

Cell lengths 8.078, 8.078, 6.527 Å; angles 51.77, 51.77, 90.00 degrees
Each line ends with the local moment (μB).
Atoms (fractional coordinates):
Ir: 0.000 0.000 0.000  -0.05
Ir: 0.750 0.250 0.500  -0.05
Mn: 0.500 0.500 0.000  3.67
Mn: 0.250 0.750 0.500  3.67
La: 0.660 0.125 0.250  -0.19
La: 0.090 0.625 0.250  -0.19
La: 0.375 0.340 0.750  -0.20
La: 0.875 0.910 0.750  -0.20

Output
SG	I-42d (122)
formation enthalpy at 0 K	92	meV per atom



Record 2
LaMnIr2 after structural relaxation, computed with PBE.

Cell lengths 4.806, 4.806, 3.270 Å; angles 89.99, 89.99, 97.69 degrees
Each line ends with the local moment (μB).
Atoms (fractional coordinates):
Ir: 0.000 0.000 0.000  0.17
Ir: 0.500 0.500 0.000  0.17
La: 0.500 0.000 0.500  -0.02
Mn: 0.000 0.500 0.500  3.90

Output
SG	Cmmm (65)
formation enthalpy at 0 K	-69	meV per atom



Record 3
La2MnIr after structural relaxation, computed with PBE.

Cell lengths 3.957, 4.405, 6.226 Å; angles 69.28, 90.00, 90.00 degrees
Each line ends with the local moment (μB).
Atoms (fractional coordinates):
Ir: 0.500 0.549 0.776  -0.15
La: 0.000 0.988 0.899  0.11
La: 0.500 0.275 0.326  0.21
Mn: 0.000 0.688 0.499  -3.23

Output
SG	Amm2 (38)
formation enthalpy at 0 K	-271	meV per atom



Record 4
LaMnIr2 after structural relaxation, computed with PBE.

Cell lengths 4.905, 4.905, 4.905 Å; angles 126.18, 125.99, 79.75 degrees
Each line ends with the local moment (μB).
Atoms (fractional coordinates):
Ir: 0.000 0.000 0.000  0.22
Ir: 0.500 0.500 0.000  0.22
La: 0.250 0.750 0.500  0.04
Mn: 0.750 0.250 0.500  3.92

Output
SG	Immm (71)
formation enthalpy at 0 K	-85	meV per atom



Record 5
LaMnIr2 after structural relaxation, computed with PBE.

Cell lengths 5.614, 5.614, 4.887 Å; angles 64.30, 64.30, 30.68 degrees
Each line ends with the local moment (μB).
Atoms (fractional coordinates):
Ir: 0.973 0.973 0.027  0.09
Ir: 0.527 0.527 0.473  0.09
La: 0.750 0.750 0.750  -0.18
Mn: 0.250 0.250 0.250  2.97

Output
SG	C2/m (12)
formation enthalpy at 0 K	101	meV per atom



Record 6
La2MnIr after structural relaxation, computed with PBE.

Cell lengths 8.252, 8.252, 8.252 Å; angles 28.75, 28.75, 28.75 degrees
Each line ends with the local moment (μB).
Atoms (fractional coordinates):
Ir: 0.750 0.750 0.750  0.03
La: 0.014 0.014 0.014  -0.06
La: 0.486 0.486 0.486  -0.06
Mn: 0.250 0.250 0.250  3.89

Output
SG	R-3m (166)
formation enthalpy at 0 K	-47	meV per atom



Record 7
LaMn2Ir2 after structural relaxation, computed with PBE.

Cell lengths 7.549, 7.549, 2.768 Å; angles 90.00, 90.00, 90.00 degrees
Atoms (fractional coordinates):
Ir: 0.173 0.673 0.500
Ir: 0.673 0.827 0.500
Ir: 0.827 0.327 0.500
Ir: 0.327 0.173 0.500
Mn: 0.388 0.888 0.000
Mn: 0.888 0.612 0.000
Mn: 0.612 0.112 0.000
Mn: 0.112 0.388 0.000
La: 0.000 0.000 0.000
La: 0.500 0.500 0.000

Output
SG	P4/mbm (127)
formation enthalpy at 0 K	1	meV per atom
offset from the most stable computed form	136.8	meV per atom



Record 8
La2MnIr after structural relaxation, computed with PBE.

Cell lengths 7.660, 7.660, 7.660 Å; angles 32.26, 32.26, 32.26 degrees
Each line ends with the local moment (μB).
Atoms (fractional coordinates):
Ir: 0.794 0.794 0.794  0.04
La: 0.037 0.037 0.037  -0.07
La: 0.213 0.213 0.213  -0.04
Mn: 0.457 0.457 0.457  2.33

Output
SG	R3m (160)
formation enthalpy at 0 K	-278	meV per atom



Record 9
LaMn2Ir after structural relaxation, computed with PBE.

Cell lengths 9.278, 9.278, 9.278 Å; angles 18.97, 18.97, 18.97 degrees
Each line ends with the local moment (μB).
Atoms (fractional coordinates):
Ir: 0.513 0.513 0.513  -0.26
La: 0.755 0.755 0.755  -0.30
Mn: 0.982 0.982 0.982  3.39
Mn: 0.250 0.250 0.250  -3.19

Output
SG	R3m (160)
formation enthalpy at 0 K	442	meV per atom



Record 10
La2Mn2Ir after structural relaxation, computed with PBE.

Cell lengths 6.788, 6.788, 4.684 Å; angles 90.00, 90.00, 90.00 degrees
Each line ends with the local moment (μB).
Atoms (fractional coordinates):
Ir: 0.000 0.000 0.000  0.19
Ir: 0.500 0.500 0.000  0.18
Mn: 0.360 0.860 0.000  3.03
Mn: 0.860 0.640 0.000  3.07
Mn: 0.640 0.140 0.000  3.03
Mn: 0.140 0.360 0.000  3.07
La: 0.177 0.677 0.500  -0.21
La: 0.677 0.823 0.500  -0.22
La: 0.823 0.323 0.500  -0.21
La: 0.323 0.177 0.500  -0.22

Output
SG	P4/mbm (127)
formation enthalpy at 0 K	40	meV per atom



Record 11
La2MnIr9 after structural relaxation, computed with PBE.

Cell lengths 5.304, 5.304, 9.482 Å; angles 73.76, 73.76, 60.00 degrees
Each line ends with the local moment (μB).
Atoms (fractional coordinates):
La: 0.863 0.863 0.411  0.01
La: 0.137 0.137 0.589  0.01
Mn: 0.000 0.000 0.000  4.16
Ir: 0.668 0.668 0.997  -0.16
Ir: 0.332 0.332 0.003  -0.16
Ir: 0.500 0.500 0.500  -0.01
Ir: 0.422 0.422 0.239  0.04
Ir: 0.918 0.422 0.239  0.04
Ir: 0.422 0.918 0.239  0.04
Ir: 0.578 0.578 0.761  0.04
Ir: 0.578 0.082 0.761  0.04
Ir: 0.082 0.578 0.761  0.04

Output
SG	R-3m (166)
formation enthalpy at 0 K	-191	meV per atom



Record 12
LaMn2Ir after structural relaxation, computed with PBE.

Cell lengths 4.198, 4.198, 5.647 Å; angles 68.18, 68.18, 59.97 degrees
Atoms (fractional coordinates):
Ir: 0.250 0.250 0.250
La: 0.750 0.750 0.750
Mn: 0.936 0.936 0.192
Mn: 0.564 0.564 0.308

Output
SG	R-3m (166)
formation enthalpy at 0 K	19	meV per atom



Record 13
La2MnIr after structural relaxation, computed with PBE.

Cell lengths 6.487, 6.487, 6.487 Å; angles 147.27, 138.09, 54.16 degrees
Each line ends with the local moment (μB).
Atoms (fractional coordinates):
Ir: 0.290 0.790 0.500  0.20
La: 0.028 0.028 0.000  -0.17
La: 0.740 0.240 0.500  -0.09
Mn: 0.442 0.442 0.000  3.35

Output
SG	Imm2 (44)
formation enthalpy at 0 K	-193	meV per atom



Record 14
LaMnIr2 after structural relaxation, computed with PBE.

Cell lengths 5.262, 5.262, 5.262 Å; angles 135.89, 132.05, 67.18 degrees
Each line ends with the local moment (μB).
Atoms (fractional coordinates):
Ir: 0.997 0.997 0.000  -0.02
Ir: 0.242 0.742 0.500  0.02
La: 0.499 0.499 0.000  -0.01
Mn: 0.761 0.261 0.500  -3.75

Output
SG	Imm2 (44)
formation enthalpy at 0 K	27	meV per atom



Record 15
LaMn3Ir after structural relaxation, computed with PBE.

Cell lengths 4.568, 4.568, 4.568 Å; angles 90.00, 90.00, 90.00 degrees
Atoms (fractional coordinates):
Ir: 0.000 0.000 0.000
Mn: 0.000 0.500 0.000
Mn: 0.000 0.000 0.500
Mn: 0.500 0.000 0.000
La: 0.500 0.500 0.500

Output
SG	Pm-3m (221)
formation enthalpy at 0 K	895	meV per atom
offset from the most stable computed form	0.0	meV per atom



Record 16
La2MnIr after structural relaxation, computed with PBE.

Cell lengths 4.988, 4.988, 4.988 Å; angles 60.00, 60.00, 60.00 degrees
Each line ends with the local moment (μB).
Atoms (fractional coordinates):
Ir: 0.500 0.500 0.500  -0.31
La: 0.000 0.000 0.000  -0.03
La: 0.250 0.250 0.250  0.02
Mn: 0.750 0.750 0.750  -3.75

Output
SG	F-43m (216)
formation enthalpy at 0 K	-26	meV per atom



Record 17
LaMn2Ir after structural relaxation, computed with PBE.

Cell lengths 6.089, 6.089, 6.089 Å; angles 144.28, 140.72, 54.13 degrees
Each line ends with the local moment (μB).
Atoms (fractional coordinates):
Ir: 0.515 0.515 0.000  -0.17
La: 0.298 0.798 0.500  -0.08
Mn: 0.026 0.026 0.000  3.52
Mn: 0.660 0.160 0.500  -3.22

Output
SG	Imm2 (44)
formation enthalpy at 0 K	164	meV per atom



Record 18
LaMn2Ir after structural relaxation, computed with PBE.

Cell lengths 4.333, 4.333, 9.616 Å; angles 76.98, 76.98, 90.00 degrees
Each line ends with the local moment (μB).
Atoms (fractional coordinates):
Ir: 0.000 0.000 0.000  0.17
Ir: 0.750 0.250 0.500  0.17
Mn: 0.875 0.125 0.250  1.83
Mn: 0.875 0.625 0.250  1.81
Mn: 0.375 0.125 0.750  2.01
Mn: 0.875 0.125 0.750  1.99
La: 0.500 0.500 0.000  -0.03
La: 0.250 0.750 0.500  -0.03

Output
SG	I4_1/amd (141)
formation enthalpy at 0 K	300	meV per atom



Record 19
LaMn3Ir after structural relaxation, computed with PBE.

Cell lengths 4.351, 4.351, 4.351 Å; angles 90.00, 90.00, 90.00 degrees
Atoms (fractional coordinates):
Ir: 0.500 0.500 0.500
Mn: 0.000 0.500 0.000
Mn: 0.000 0.000 0.500
Mn: 0.500 0.000 0.000
La: 0.000 0.000 0.000

Output
SG	Pm-3m (221)
formation enthalpy at 0 K	2080	meV per atom
offset from the most stable computed form	1185.4	meV per atom



Record 20
LaMnIr2 after structural relaxation, computed with PBE.

Cell lengths 9.325, 9.325, 9.325 Å; angles 18.42, 18.42, 18.42 degrees
Each line ends with the local moment (μB).
Atoms (fractional coordinates):
Ir: 0.013 0.013 0.013  0.06
Ir: 0.487 0.487 0.487  0.06
La: 0.250 0.250 0.250  -0.39
Mn: 0.750 0.750 0.750  3.28

Output
SG	R-3m (166)
formation enthalpy at 0 K	217	meV per atom



Record 21
LaMn2Ir after structural relaxation, computed with PBE.

Cell lengths 3.172, 3.172, 7.327 Å; angles 90.00, 90.00, 90.00 degrees
Each line ends with the local moment (μB).
Atoms (fractional coordinates):
Ir: 0.000 0.000 0.443  0.19
La: 0.500 0.500 0.733  0.03
Mn: 0.000 0.000 0.083  -3.21
Mn: 0.500 0.500 0.241  3.21

Output
SG	P4mm (99)
formation enthalpy at 0 K	31	meV per atom



Record 22
La2MnIr2 after structural relaxation, computed with PBE.

Cell lengths 7.275, 7.275, 4.280 Å; angles 90.00, 90.00, 90.00 degrees
Each line ends with the local moment (μB).
Atoms (fractional coordinates):
Ir: 0.362 0.862 0.000  0.04
Ir: 0.862 0.638 0.000  0.03
Ir: 0.638 0.138 0.000  0.04
Ir: 0.138 0.362 0.000  0.03
Mn: 0.000 0.000 0.000  3.75
Mn: 0.500 0.500 0.000  3.75
La: 0.173 0.673 0.500  -0.05
La: 0.673 0.827 0.500  -0.05
La: 0.827 0.327 0.500  -0.05
La: 0.327 0.173 0.500  -0.05

Output
SG	P4/mbm (127)
formation enthalpy at 0 K	-384	meV per atom



Record 23
LaMnIr2 after structural relaxation, computed with PBE.

Cell lengths 4.686, 4.686, 4.686 Å; angles 60.00, 60.00, 60.00 degrees
Each line ends with the local moment (μB).
Atoms (fractional coordinates):
Ir: 0.000 0.000 0.000  0.34
Ir: 0.750 0.750 0.750  0.23
La: 0.500 0.500 0.500  -0.03
Mn: 0.250 0.250 0.250  3.50

Output
SG	F-43m (216)
formation enthalpy at 0 K	125	meV per atom



Record 24
LaMnIr2 after structural relaxation, computed with PBE.

Cell lengths 2.928, 3.833, 6.683 Å; angles 90.00, 90.00, 90.00 degrees
Each line ends with the local moment (μB).
Atoms (fractional coordinates):
Ir: 0.000 0.000 0.977  -0.05
Ir: 0.500 0.500 0.208  0.05
La: 0.000 0.000 0.480  -0.05
Mn: 0.500 0.500 0.835  3.17

Output
SG	Pmm2 (25)
formation enthalpy at 0 K	16	meV per atom



Record 25
LaMn2Ir after structural relaxation, computed with PBE.

Cell lengths 4.085, 4.100, 4.481 Å; angles 90.00, 90.00, 90.00 degrees
Each line ends with the local moment (μB).
Atoms (fractional coordinates):
Ir: 0.500 0.000 0.500  0.17
La: 0.000 0.500 0.500  -0.07
Mn: 0.000 0.000 0.000  3.56
Mn: 0.500 0.500 0.000  3.55

Output
SG	Pmmm (47)
formation enthalpy at 0 K	126	meV per atom



Record 26
LaMn2Ir after structural relaxation, computed with PBE.

Cell lengths 3.160, 3.159, 7.515 Å; angles 90.00, 90.00, 90.00 degrees
Each line ends with the local moment (μB).
Atoms (fractional coordinates):
Ir: 0.500 0.500 0.250  0.47
La: 0.500 0.500 0.750  -0.33
Mn: 0.000 0.000 0.060  3.57
Mn: 0.000 0.000 0.440  3.57

Output
SG	P4/mmm (123)
formation enthalpy at 0 K	140	meV per atom



Record 27
LaMn2Ir after structural relaxation, computed with PBE.

Cell lengths 4.770, 4.770, 4.770 Å; angles 60.00, 60.00, 60.00 degrees
Each line ends with the local moment (μB).
Atoms (fractional coordinates):
Ir: 0.500 0.500 0.500  0.39
La: 0.750 0.750 0.750  -0.11
Mn: 0.000 0.000 0.000  3.52
Mn: 0.250 0.250 0.250  3.85

Output
SG	F-43m (216)
formation enthalpy at 0 K	197	meV per atom



Record 28
LaMnIr2 after structural relaxation, computed with PBE.

Cell lengths 4.771, 4.771, 8.990 Å; angles 74.61, 74.61, 90.00 degrees
Each line ends with the local moment (μB).
Atoms (fractional coordinates):
Ir: 0.454 0.125 0.250  0.02
Ir: 0.296 0.625 0.250  0.02
Ir: 0.375 0.546 0.750  0.04
Ir: 0.875 0.704 0.750  0.01
Mn: 0.500 0.500 0.000  3.24
Mn: 0.250 0.750 0.500  3.24
La: 0.000 0.000 0.000  -0.04
La: 0.750 0.250 0.500  -0.04

Output
SG	I-42d (122)
formation enthalpy at 0 K	27	meV per atom